DFT (PBE+U) results for a geometry-optimized FeCo2CO structure.

M_tot = 1.243 μB per atom
offset from the most stable computed form = 0 meV/atom
symmetry = P4/mmm (123)
uncorrected energy = -5.317 eV/atom

Unit cell a=3.631 b=3.631 c=4.213 alpha=90.00 beta=90.00 gamma=90.00
Fractional coordinates of all 5 atoms:
Fe 0.000 0.000 0.000
Co 0.000 0.500 0.500
Co 0.500 0.000 0.500
C 0.000 0.000 0.500
O 0.500 0.500 0.000